A plane-wave DFT calculation with PBE was carried out for an optimized crystal structure of Tm2Pu2Tl7.

The space group is C2/m (No. 12) and the conventional cell measures 11.764, 6.615 and 8.727 Å, with angles of 90.00, 90.19 and 90.00 degrees. The asymmetric unit holds Tm at (0.000, 0.250, 0.000), Pu at (0.231, 0.000, 0.500), Tl at (0.000, 0.000, 0.306), Tl at (0.000, 0.500, 0.500) and Tl at (0.250, 0.250, 0.176).

The calculated density is 11.034 Mg/m³. The calculation puts the formation energy at 1.8 eV/f.u.

***

A plane-wave DFT calculation with PBE was carried out for an optimized crystal structure of GdScAl2.

The space group is Fm-3m (No. 225) and the conventional cell measures 7.011, 7.011 and 7.011 Å, with angles of 90.00, 90.00 and 90.00 degrees. The asymmetric unit holds Gd at (0.000, 0.000, 0.000), Sc at (0.000, 0.000, 0.500) and Al at (0.250, 0.250, 0.250).

The value obtained for the energy above the lowest structure with this stoichiometry is 20 meV/atom. The calculated density is 4.937 Mg/m³. The calculation puts the formation energy at -1.6 eV/f.u.

***

A plane-wave DFT calculation with PBE was carried out for an optimized crystal structure of SmGdB4.

The space group is F-43m (No. 216) and the conventional cell measures 6.854, 6.854 and 6.854 Å, with angles of 90.00, 90.00 and 90.00 degrees. The asymmetric unit holds Sm at (0.000, 0.000, 0.000), Gd at (0.250, 0.250, 0.750) and B at (0.091, 0.091, 0.409).

The calculated density is 7.236 Mg/m³. The calculation puts the formation energy at 1.9 eV/f.u.

***

How do the records compare in DOS(E_F)? In the order shown, they have 21.0 1.9 4.5 states/eV/f.u..